1 | This record from Alexandria describes a relaxed KTi2Mo2 crystal. The functional is PBE-GGA.

Properties
**Magnetization**: 0.000 μB/f.u.
**Calculated density**: 5.03 g/cm³
**V**: 21.6 Å³/atom
**Space group**: No. 139

```
5
Lattice="-2.3730 2.3730 4.7859 2.3730 -2.3730 4.7859 2.3730 2.3730 -4.7859" Properties=species:S:1:pos:R:3 pbc="T T T"
K 0.0000 0.0000 0.0000
Ti 2.3730 0.0000 2.3929
Ti 0.0000 2.3730 2.3929
Mo 0.0000 0.0000 3.5072
Mo 0.0000 0.0000 6.0645
```

***

2 | This record from Alexandria describes a relaxed KTi2Mo2 crystal. The functional is PBE-GGA.

Properties
**Magnetization**: 0.000 μB/f.u.
**Calculated density**: 5.32 g/cm³
**V**: 20.4 Å³/atom
**Space group**: No. 127

```
10
Lattice="8.5818 0.0000 0.0000 0.0000 8.5818 0.0000 0.0000 0.0000 2.7674" Properties=species:S:1:pos:R:3 pbc="T T T"
K 0.0000 0.0000 0.0000
K 4.2909 4.2909 0.0000
Ti 1.1952 3.0958 1.3837
Ti 3.0958 7.3867 1.3837
Ti 5.4861 1.1952 1.3837
Ti 7.3867 5.4861 1.3837
Mo 1.1472 5.4382 0.0000
Mo 3.1437 1.1472 0.0000
Mo 5.4382 7.4346 0.0000
Mo 7.4346 3.1437 0.0000
```

***

Best to worst by energy: 2, 1.

***

1 | This record from Alexandria describes a relaxed KTiMo2 crystal. The functional is PBE-GGA.

Properties
**Magnetization**: 0.000 μB/f.u.
**Calculated density**: 4.66 g/cm³
**V**: 24.8 Å³/atom
**Space group**: No. 122

```
8
Lattice="-2.3129 2.3129 9.2851 2.3129 -2.3129 9.2851 2.3129 2.3129 -9.2851" Properties=species:S:1:pos:R:3 pbc="T T T"
K 0.0000 0.0000 0.0000
K 0.0000 2.3129 4.6425
Ti 2.3129 0.0000 4.6425
Ti 0.0000 0.0000 9.2851
Mo 1.1564 1.8938 -2.3213
Mo 2.7319 1.1564 2.3213
Mo 1.1564 0.4190 6.9638
Mo -0.4190 1.1564 11.6064
```

***

2 | This record from Alexandria describes a relaxed KTiMo2 crystal. The functional is PBE-GGA.

Properties
**Magnetization**: 0.000 μB/f.u.
**Calculated density**: 6.24 g/cm³
**V**: 18.6 Å³/atom
**Space group**: No. 225

```
4
Lattice="0.0000 3.3357 3.3357 3.3357 0.0000 3.3357 3.3357 3.3357 0.0000" Properties=species:S:1:pos:R:3 pbc="T T T"
K 0.0000 0.0000 0.0000
Ti 3.3357 3.3357 3.3357
Mo 1.6678 1.6678 1.6678
Mo 5.0035 5.0035 5.0035
```

***

Best to worst by energy: 2, 1.

***

1 | This record from Alexandria describes a relaxed KTlMo crystal. The functional is PBE-GGA.

Properties
**Magnetization**: 4.513 μB/f.u.
**Calculated density**: 4.91 g/cm³
**V**: 38.3 Å³/atom
**Space group**: No. 216

```
3
Lattice="0.0000 3.8577 3.8577 3.8577 0.0000 3.8577 3.8577 3.8577 0.0000" Properties=species:S:1:pos:R:3 pbc="T T T"
K 0.0000 0.0000 0.0000
Tl 5.7865 5.7865 5.7865
Mo 1.9288 1.9288 1.9288
```

***

2 | This record from Alexandria describes a relaxed KTlMo crystal. The functional is PBE-GGA.

Properties
**Magnetization**: 1.764 μB/f.u.
**Calculated density**: 6.26 g/cm³
**V**: 30.0 Å³/atom
**Space group**: No. 44

```
3
Lattice="-1.5043 2.3825 6.2855 1.5043 -2.3825 6.2855 1.5043 2.3825 -6.2855" Properties=species:S:1:pos:R:3 pbc="T T T"
K 0.0000 0.0000 0.0000
Tl 0.0000 0.0000 3.4357
Mo 0.0000 0.0000 9.1712
```

***

Best to worst by energy: 2, 1.

***

1 | This record from Alexandria describes a relaxed KTlMo crystal. The functional is PBE-GGA.

Properties
**Magnetization**: 0.000 μB/f.u.
**Calculated density**: 7.81 g/cm³
**V**: 24.1 Å³/atom
**Space group**: No. 42

```
3
Lattice="0.0000 2.1567 8.3071 2.0141 0.0000 8.3071 2.0141 2.1567 0.0000" Properties=species:S:1:pos:R:3 pbc="T T T"
K 0.0000 0.0000 0.0000
Tl 2.0141 2.1567 5.3318
Mo 2.0141 2.1567 11.2973
```

***

2 | This record from Alexandria describes a relaxed KTlMo crystal. The functional is PBE-GGA.

Properties
**Magnetization**: 2.324 μB/f.u.
**Calculated density**: 5.87 g/cm³
**V**: 32.0 Å³/atom
**Space group**: No. 107

```
3
Lattice="-1.9489 1.9489 6.3207 1.9489 -1.9489 6.3207 1.9489 1.9489 -6.3207" Properties=species:S:1:pos:R:3 pbc="T T T"
K 0.0000 0.0000 0.0000
Tl 0.0000 0.0000 3.4104
Mo 0.0000 0.0000 9.2571
```

***

Best to worst by energy: 1, 2.

***

1 | This record from Alexandria describes a relaxed KTl2Mo crystal. The functional is PBE-GGA.

Properties
**Magnetization**: 1.328 μB/f.u.
**Calculated density**: 6.92 g/cm³
**V**: 32.6 Å³/atom
**Space group**: No. 99

```
4
Lattice="3.9149 0.0000 0.0000 0.0000 3.9149 0.0000 0.0000 0.0000 8.5189" Properties=species:S:1:pos:R:3 pbc="T T T"
K 0.0000 0.0000 0.0000
Tl 0.0000 0.0000 3.3892
Tl 1.9574 1.9574 5.8389
Mo 1.9574 1.9574 3.0883
```

***

2 | This record from Alexandria describes a relaxed KTl2Mo crystal. The functional is PBE-GGA.

Properties
**Magnetization**: 0.862 μB/f.u.
**Calculated density**: 7.40 g/cm³
**V**: 30.5 Å³/atom
**Space group**: No. 44

```
4
Lattice="-1.5331 2.4246 8.2029 1.5331 -2.4246 8.2029 1.5331 2.4246 -8.2029" Properties=species:S:1:pos:R:3 pbc="T T T"
K 0.0000 0.0000 0.0000
Tl 0.0000 0.0000 5.7840
Tl 0.0000 2.4246 2.9935
Mo 1.5331 0.0000 3.3237
```

***

Best to worst by energy: 2, 1.

***

1 | This record from Alexandria describes a relaxed KTl2Mo crystal. The functional is PBE-GGA.

Properties
**Magnetization**: 0.000 μB/f.u.
**Calculated density**: 8.79 g/cm³
**V**: 25.7 Å³/atom
**Space group**: No. 160

```
4
Lattice="1.6318 0.9421 11.1335 -1.6318 0.9421 11.1335 0.0000 -1.8842 11.1335" Properties=species:S:1:pos:R:3 pbc="T T T"
K 0.0000 0.0000 0.0000
Tl 0.0000 0.0000 17.0642
Tl 0.0000 0.0000 25.4309
Mo 0.0000 0.0000 8.2116
```

***

2 | This record from Alexandria describes a relaxed KTl2Mo crystal. The functional is PBE-GGA.

Properties
**Magnetization**: 0.000 μB/f.u.
**Calculated density**: 9.28 g/cm³
**V**: 24.3 Å³/atom
**Space group**: No. 65

```
4
Lattice="2.0984 -2.2754 0.0000 2.0984 2.2754 0.0000 0.0000 0.0000 10.1909" Properties=species:S:1:pos:R:3 pbc="T T T"
K 0.0000 0.0000 0.0000
Tl 2.0984 0.0000 2.8701
Tl 2.0984 0.0000 7.3207
Mo 0.0000 0.0000 5.0954
```

***

Best to worst by energy: 2, 1.

***

1 | This record from Alexandria describes a relaxed KTl2Mo crystal. The functional is PBE-GGA.

Properties
**Magnetization**: 0.657 μB/f.u.
**Calculated density**: 9.34 g/cm³
**V**: 24.2 Å³/atom
**Space group**: No. 12

```
4
Lattice="3.9310 -3.9213 0.0000 3.9310 3.9213 0.0000 -0.0431 0.0000 3.1349" Properties=species:S:1:pos:R:3 pbc="T T T"
K 0.0000 0.0000 0.0000
Tl 1.9439 1.9606 1.5675
Tl 1.9439 -1.9606 1.5675
Mo 3.9310 0.0000 0.0000
```

***

2 | This record from Alexandria describes a relaxed KTl2Mo crystal. The functional is PBE-GGA.

Properties
**Magnetization**: 0.001 μB/f.u.
**Calculated density**: 9.14 g/cm³
**V**: 24.7 Å³/atom
**Space group**: No. 166

```
4
Lattice="1.6289 0.9404 10.7505 -1.6289 0.9404 10.7505 0.0000 -1.8809 10.7505" Properties=species:S:1:pos:R:3 pbc="T T T"
K 0.0000 0.0000 0.0000
Tl 0.0000 0.0000 7.7447
Tl 0.0000 0.0000 24.5067
Mo 0.0000 0.0000 16.1257
```

***

3 | This record from Alexandria describes a relaxed KTl2Mo crystal. The functional is PBE-GGA.

Properties
**Magnetization**: 3.672 μB/f.u.
**Calculated density**: 8.02 g/cm³
**V**: 28.2 Å³/atom
**Space group**: No. 119

```
4
Lattice="-2.4285 2.4285 4.7748 2.4285 -2.4285 4.7748 2.4285 2.4285 -4.7748" Properties=species:S:1:pos:R:3 pbc="T T T"
K 0.0000 0.0000 0.0000
Tl 0.0000 0.0000 4.7748
Tl 0.0000 2.4285 2.3874
Mo 2.4285 0.0000 2.3874
```

***

4 | This record from Alexandria describes a relaxed KTl2Mo crystal. The functional is PBE-GGA.

Properties
**Magnetization**: 0.960 μB/f.u.
**Calculated density**: 7.39 g/cm³
**V**: 30.6 Å³/atom
**Space group**: No. 6

```
4
Lattice="3.1168 0.0000 0.0000 0.0000 4.8113 0.0000 -0.0199 0.0000 8.1505" Properties=species:S:1:pos:R:3 pbc="T T T"
K 0.0000 0.0000 0.0000
Tl 1.5414 0.0000 3.1940
Tl 1.5412 2.4056 5.7546
Mo 3.0994 2.4056 3.2664
```

***

Best to worst by energy: 2, 4, 1, 3.

***

1 | This record from Alexandria describes a relaxed KTl2Mo crystal. The functional is PBE-GGA.

Properties
**Magnetization**: 4.251 μB/f.u.
**Calculated density**: 7.82 g/cm³
**V**: 28.9 Å³/atom
**Space group**: No. 216

```
4
Lattice="0.0000 3.8653 3.8653 3.8653 0.0000 3.8653 3.8653 3.8653 0.0000" Properties=species:S:1:pos:R:3 pbc="T T T"
K 0.0000 0.0000 0.0000
Tl 3.8653 3.8653 3.8653
Tl 5.7980 5.7980 5.7980
Mo 1.9327 1.9327 1.9327
```

***

2 | This record from Alexandria describes a relaxed KTl2Mo crystal. The functional is PBE-GGA.

Properties
**Magnetization**: 3.245 μB/f.u.
**Calculated density**: 8.44 g/cm³
**V**: 26.7 Å³/atom
**Space group**: No. 225

```
4
Lattice="0.0000 3.7675 3.7675 3.7675 0.0000 3.7675 3.7675 3.7675 0.0000" Properties=species:S:1:pos:R:3 pbc="T T T"
K 0.0000 0.0000 0.0000
Tl 1.8838 1.8838 1.8838
Tl 5.6513 5.6513 5.6513
Mo 3.7675 3.7675 3.7675
```

***

3 | This record from Alexandria describes a relaxed KTl2Mo crystal. The functional is PBE-GGA.

Properties
**Magnetization**: 0.000 μB/f.u.
**Calculated density**: 8.75 g/cm³
**V**: 25.8 Å³/atom
**Space group**: No. 35

```
4
Lattice="1.9033 -2.4865 0.0000 1.9033 2.4865 0.0000 0.0000 0.0000 10.9032" Properties=species:S:1:pos:R:3 pbc="T T T"
K 0.0000 0.0000 0.0000
Tl 0.0000 0.0000 5.8594
Tl 1.9033 0.0000 3.1391
Mo 1.9033 0.0000 8.0451
```

***

Best to worst by energy: 2, 3, 1.

***

1 | This record from Alexandria describes a relaxed KTl2Mo crystal. The functional is PBE-GGA.

Properties
**Magnetization**: 2.649 μB/f.u.
**Calculated density**: 5.44 g/cm³
**V**: 41.5 Å³/atom
**Space group**: No. 122

```
8
Lattice="-3.0068 3.0068 9.1768 3.0068 -3.0068 9.1768 3.0068 3.0068 -9.1768" Properties=species:S:1:pos:R:3 pbc="T T T"
K 0.0000 0.0000 0.0000
K 0.0000 3.0068 4.5884
Tl 1.5034 -0.3892 6.8826
Tl 2.6175 1.5034 2.2942
Tl 1.5034 3.3960 -2.2942
Tl 0.3892 1.5034 11.4710
Mo 3.0068 0.0000 4.5884
Mo 0.0000 0.0000 9.1768
```

***

2 | This record from Alexandria describes a relaxed KTl2Mo crystal. The functional is PBE-GGA.

Properties
**Magnetization**: 1.357 μB/f.u.
**Calculated density**: 8.62 g/cm³
**V**: 26.2 Å³/atom
**Space group**: No. 47

```
4
Lattice="3.0793 0.0000 0.0000 0.0000 4.2831 0.0000 0.0000 0.0000 7.9458" Properties=species:S:1:pos:R:3 pbc="T T T"
K 0.0000 0.0000 0.0000
Tl 1.5396 2.1416 2.4319
Tl 1.5396 2.1416 5.5139
Mo 0.0000 0.0000 3.9729
```

***

Best to worst by energy: 2, 1.

***

1 | This record from Alexandria describes a relaxed KVMo3 crystal. The functional is PBE-GGA.

Properties
**Magnetization**: 0.002 μB/f.u.
**Calculated density**: 6.02 g/cm³
**V**: 20.9 Å³/atom
**Space group**: No. 221

```
5
Lattice="4.7067 0.0000 0.0000 0.0000 4.7067 0.0000 0.0000 0.0000 4.7067" Properties=species:S:1:pos:R:3 pbc="T T T"
K 0.0000 0.0000 0.0000
V 2.3533 2.3533 2.3533
Mo 0.0000 2.3533 2.3533
Mo 2.3533 0.0000 2.3533
Mo 2.3533 2.3533 0.0000
```

***

2 | This record from Alexandria describes a relaxed KVMo3 crystal. The functional is PBE-GGA.

Properties
**Magnetization**: 2.176 μB/f.u.
**Calculated density**: 6.94 g/cm³
**V**: 18.1 Å³/atom
**Space group**: No. 221

```
5
Lattice="4.4876 0.0000 0.0000 0.0000 4.4876 0.0000 0.0000 0.0000 4.4876" Properties=species:S:1:pos:R:3 pbc="T T T"
K 0.0000 0.0000 0.0000
V 2.2438 2.2438 2.2438
Mo 0.0000 0.0000 2.2438
Mo 0.0000 2.2438 0.0000
Mo 2.2438 0.0000 0.0000
```

***

Best to worst by energy: 1, 2.

***

1 | This record from Alexandria describes a relaxed KMoW2 crystal. The functional is PBE-GGA.

Properties
**Magnetization**: 0.000 μB/f.u.
**Calculated density**: 8.92 g/cm³
**V**: 23.4 Å³/atom
**Space group**: No. 12

```
4
Lattice="4.6968 -1.3188 0.0000 4.6968 1.3188 0.0000 -0.0269 0.0000 7.5513" Properties=species:S:1:pos:R:3 pbc="T T T"
K 0.0000 0.0000 0.0000
Mo 4.6834 0.0000 3.7757
W 2.2796 0.0000 4.9434
W 7.0871 0.0000 2.6079
```

***

2 | This record from Alexandria describes a relaxed KMoW2 crystal. The functional is PBE-GGA.

Properties
**Magnetization**: 0.000 μB/f.u.
**Calculated density**: 10.65 g/cm³
**V**: 19.6 Å³/atom
**Space group**: No. 123

```
4
Lattice="2.6764 0.0000 0.0000 0.0000 2.6764 0.0000 0.0000 0.0000 10.9445" Properties=species:S:1:pos:R:3 pbc="T T T"
K 0.0000 0.0000 0.0000
Mo 0.0000 0.0000 5.4722
W 1.3382 1.3382 3.1913
W 1.3382 1.3382 7.7532
```

***

Best to worst by energy: 2, 1.

***

1 | This record from Alexandria describes a relaxed KMoW2 crystal. The functional is PBE-GGA.

Properties
**Magnetization**: 0.000 μB/f.u.
**Calculated density**: 11.61 g/cm³
**V**: 18.0 Å³/atom
**Space group**: No. 225

```
4
Lattice="0.0000 3.3008 3.3008 3.3008 0.0000 3.3008 3.3008 3.3008 0.0000" Properties=species:S:1:pos:R:3 pbc="T T T"
K 0.0000 0.0000 0.0000
Mo 3.3008 3.3008 3.3008
W 1.6504 1.6504 1.6504
W 4.9512 4.9512 4.9512
```

***

2 | This record from Alexandria describes a relaxed KMoW2 crystal. The functional is PBE-GGA.

Properties
**Magnetization**: 0.000 μB/f.u.
**Calculated density**: 11.21 g/cm³
**V**: 18.6 Å³/atom
**Space group**: No. 123

```
4
Lattice="5.2734 0.0000 0.0000 0.0000 5.2734 0.0000 0.0000 0.0000 2.6790" Properties=species:S:1:pos:R:3 pbc="T T T"
K 0.0000 0.0000 0.0000
Mo 2.6367 2.6367 0.0000
W 0.0000 2.6367 1.3395
W 2.6367 0.0000 1.3395
```

***

3 | This record from Alexandria describes a relaxed KMoW2 crystal. The functional is PBE-GGA.

Properties
**Magnetization**: 0.000 μB/f.u.
**Calculated density**: 8.85 g/cm³
**V**: 23.6 Å³/atom
**Space group**: No. 6

```
4
Lattice="2.8027 0.0000 0.0000 0.0000 4.3669 0.0000 -0.4797 0.0000 7.7063" Properties=species:S:1:pos:R:3 pbc="T T T"
K 0.0000 0.0000 0.0000
Mo 2.2171 2.1835 2.7168
W 0.1483 2.1835 5.0007
W 1.2026 0.0000 3.8689
```

***

Best to worst by energy: 3, 1, 2.